This record from the Open Quantum Materials Database describes a relaxed structure of CdCuSiAgSe4. The functional is PBE.

Lattice parameters (Å, degrees): 7.0614 7.0614 7.0614 130.97 130.97 71.86
Closest atoms and distances in Å follow each position.
Fractional coordinates of all 8 atoms:
Si 0.2500 0.7500 0.5000  4 Se 2.33
Se 0.3318 0.8637 0.9439  1 Si 2.33, 1 Cu 2.43
Se 0.9198 0.3879 0.0561  1 Si 2.33, 1 Cu 2.43
Cd 0.7500 0.2500 0.5000  4 Se 2.71
Se 0.6121 0.6682 0.5319  1 Si 2.33, 1 Cu 2.43
Ag 0.5000 0.5000 0.0000  4 Se 2.64
Cu 0.0000 0.0000 0.0000  4 Se 2.43
Se 0.1363 0.0802 0.4681  1 Si 2.33, 1 Cu 2.43

Computed properties:
Crystal system = tetragonal
DFT total energy = -3.73 eV per atom

This record from the Open Quantum Materials Database describes a relaxed structure of CdCuAgSn. The functional is PBE.

Lattice parameters (Å, degrees): 4.7866 4.7866 4.7866 60.00 60.00 60.00
Closest atoms and distances in Å follow each position.
Fractional coordinates of all 4 atoms:
Sn 0.0000 0.0000 0.0000  4 Cu 2.93, 4 Ag 2.93
Cu 0.7500 0.7500 0.7500  4 Cd 2.93, 4 Sn 2.93
Cd 0.5000 0.5000 0.5000  4 Cu 2.93, 4 Ag 2.93
Ag 0.2500 0.2500 0.2500  4 Cd 2.93, 4 Sn 2.93

Computed properties:
E above lowest polymorph = 0 meV per atom
Crystal system = cubic
DFT total energy = -2.75 eV per atom

This record from the Open Quantum Materials Database describes a relaxed structure of Tb2YCd3Cu2Ag. The functional is PBE.

Lattice parameters (Å, degrees): 3.8691 7.6933 7.6933 120.09 90.00 90.00
Closest atoms and distances in Å follow each position.
Fractional coordinates of all 9 atoms:
Cu 0.5000 0.3331 0.6668  3 Cd 2.84-2.85, 4 Tb 3.02, 2 Y 3.03
Ag 0.0000 0.0000 0.0000  6 Cd 2.83, 1 Y 3.15, 2 Tb 3.15
Cd 0.5000 0.2687 0.2687  2 Ag 2.83, 2 Cu 2.85, 2 Y 3.14
Cd 0.5000 0.7317 0.9997  2 Ag 2.83, 2 Cu 2.84-2.85, 2 Tb 3.14
Tb 0.0000 0.0000 0.4101  4 Cu 3.02, 6 Cd 3.14-3.38, 1 Ag 3.15
Cd 0.5000 0.9997 0.7317  2 Ag 2.83, 2 Cu 2.84-2.85, 2 Tb 3.14
Cu 0.5000 0.6668 0.3331  3 Cd 2.84-2.85, 4 Tb 3.02, 2 Y 3.03
Y 0.0000 0.5899 0.5899  4 Cu 3.03, 6 Cd 3.14-3.38, 1 Ag 3.15
Tb 0.0000 0.4101 0.0000  4 Cu 3.02, 6 Cd 3.14-3.38, 1 Ag 3.15

Computed properties:
Energy relative to the elements = -0.31 eV/atom
Crystal system = orthorhombic
DFT total energy = -3.49 eV per atom

This record from the Open Quantum Materials Database describes a relaxed structure of TbY2Cd3Cu2Ag. The functional is PBE.

Lattice parameters (Å, degrees): 3.8768 7.6531 7.6531 119.90 90.00 90.00
Closest atoms and distances in Å follow each position.
Fractional coordinates of all 9 atoms:
Cd 0.5000 0.2679 0.2679  2 Ag 2.82, 2 Cu 2.83, 2 Tb 3.14
Ag 0.0000 0.9999 0.9999  6 Cd 2.82, 2 Y 3.14, 1 Tb 3.14
Y 0.0000 0.0000 0.4097  4 Cu 3.02, 6 Cd 3.13-3.37, 1 Ag 3.14
Cd 0.5000 0.7317 0.0004  2 Ag 2.82, 2 Cu 2.83-2.84, 2 Y 3.13
Cu 0.5000 0.6665 0.3336  3 Cd 2.83-2.84, 2 Tb 3.02, 4 Y 3.02
Cu 0.5000 0.3336 0.6665  3 Cd 2.83-2.84, 2 Tb 3.02, 4 Y 3.02
Tb 0.0000 0.5904 0.5904  4 Cu 3.02, 1 Ag 3.14, 6 Cd 3.14-3.37
Cd 0.5000 0.0004 0.7317  2 Ag 2.82, 2 Cu 2.83-2.84, 2 Y 3.13
Y 0.0000 0.4097 0.0000  4 Cu 3.02, 6 Cd 3.13-3.37, 1 Ag 3.14

Computed properties:
Energy relative to the elements = -0.31 eV/atom
Crystal system = orthorhombic
DFT total energy = -3.70 eV per atom